DFT (PBE-GGA) results for a geometry-optimized Tb7Sm4In structure.

Output
The total energy is -52.28 eV/f.u. The value obtained for the spin magnetization is 0.00 μB per atom.

Lattice parameters (Å, degrees): 16.736 5.907 9.922 90.00 124.96 90.00
Space group C2/m (No. 12)
Symmetry-distinct sites (fractional):
Tb1 0.000 0.000 0.000
Tb2 0.045 0.500 0.738
Tb3 0.185 0.500 0.337
Tb4 0.199 0.000 0.878
Sm1 0.078 0.000 0.437
Sm2 0.220 0.500 0.692
In1 0.000 0.500 0.000